Computed, not measured: crystalline TiPtSe2 at its relaxed geometry at the PBE level of DFT.

It has space group R-3m (No. 166, hexagonal axes), with a = 3.3908 Å, b = 3.3908 Å, c = 24.1150 Å, α = 90.00°, β = 90.00° and γ = 120.00°. The distinct sites, in fractional coordinates, are Ti at (0.0000, 0.0000, 0.0000), Pt at (0.0000, 0.0000, 0.5000) and Se at (0.0000, 0.0000, 0.4001).

For the density of states at the Fermi level, the calculation gives 12.18 states/eV per cell. Its spin magnetization is 0.0 μB/f.u. The uncorrected formation energy comes out at -0.5574 eV per atom.